No. 1
The following is a SCAN calculation of BaIn2Co at its PBEsol-relaxed geometry, from Alexandria via LeMat-Bulk.

Properties
- ΔE_f: 1.02 eV/f.u.

Unit cell a=5.1589 b=5.1589 c=5.1589 alpha=90.74 beta=119.57 gamma=119.57
With the nearest neighbours (Å) after each atom.
Element x y z (fractional)
Co (0.0000, 0.5000, 0.5000)  8 In 3.17
Ba (0.0000, 0.0000, 0.0000)  8 In 3.17
In (0.5000, 0.7500, 0.2500)  4 Co 3.17, 4 Ba 3.17
In (0.5000, 0.2500, 0.7500)  4 Co 3.17, 4 Ba 3.17

No. 2
The following is a SCAN calculation of TeRhW2 at its PBEsol-relaxed geometry, from Alexandria via LeMat-Bulk.

Properties
- Formation energy (no corrections): 253.8 kJ/mol of formula units

Unit cell a=3.0124 b=4.1122 c=5.3356 alpha=90.00 beta=90.00 gamma=90.00
With the nearest neighbours (Å) after each atom.
Element x y z (fractional)
Rh (0.5000, 0.5000, 0.0000)  2 Te 2.67, 8 W 2.84
Te (0.5000, 0.5000, 0.5000)  2 Rh 2.67, 8 W 2.91
W (0.0000, 0.0000, 0.7647)  1 W 2.51
W (0.0000, 0.0000, 0.2353)  1 W 2.51

No. 3
The following is a SCAN calculation of Zn2TeMoC at its PBEsol-relaxed geometry, from Alexandria via LeMat-Bulk.

Properties
- Formation energy (no corrections): 489.9 kJ/mol of formula units

Unit cell a=3.8966 b=3.8966 c=5.5118 alpha=90.00 beta=90.00 gamma=90.00
With the nearest neighbours (Å) after each atom.
Element x y z (fractional)
C (0.0000, 0.0000, 0.0000)  4 Zn 1.95
Mo (0.5000, 0.5000, 0.5000)  4 Te 2.76
Te (0.0000, 0.0000, 0.5000)  4 Mo 2.76, 2 C 2.76
Zn (0.0000, 0.5000, 0.0000)  2 C 1.95
Zn (0.5000, 0.0000, 0.0000)  2 C 1.95

No. 4
The following is a SCAN calculation of Fe3Co5 at its PBEsol-relaxed geometry, from Alexandria via LeMat-Bulk.

Properties
- ΔE_f: -0.88 eV/f.u.

Unit cell a=2.7754 b=3.9204 c=8.2723 alpha=103.71 beta=99.66 gamma=90.00
With the nearest neighbours (Å) after each atom.
Element x y z (fractional)
Co (0.7536, 0.7536, 0.5073)  2 Fe 2.38, 6 Co 2.40-2.44
Co (0.1268, 0.6268, 0.2536)  4 Fe 2.40, 4 Co 2.44
Co (0.5000, 0.5000, 0.0000)  4 Fe 2.40, 4 Co 2.44
Co (0.8732, 0.3732, 0.7464)  4 Fe 2.40, 4 Co 2.44
Co (0.2464, 0.2464, 0.4927)  2 Fe 2.38, 6 Co 2.40-2.44
Fe (0.6246, 0.1246, 0.2491)  6 Co 2.38-2.40, 2 Fe 2.41
Fe (0.0000, 0.0000, 0.0000)  4 Co 2.40, 4 Fe 2.41
Fe (0.3754, 0.8754, 0.7509)  6 Co 2.38-2.40, 2 Fe 2.41

No. 5
The following is a SCAN calculation of LiFeCl2F at its PBEsol-relaxed geometry, from Alexandria via LeMat-Bulk.

Properties
- Formation energy (no corrections): -792.1 kJ/mol of formula units

Unit cell a=3.8575 b=4.8557 c=4.8557 alpha=90.00 beta=90.00 gamma=90.00
With the nearest neighbours (Å) after each atom.
Element x y z (fractional)
Cl (0.0000, 0.0000, 0.5000)  2 Fe 2.43
Cl (0.0000, 0.5000, 0.0000)  2 Fe 2.43
Li (0.5000, 0.5000, 0.5000)  8 Cl 3.10, 4 F 3.43
Fe (0.0000, 0.0000, 0.0000)  2 F 1.93
F (0.5000, 0.0000, 0.0000)  2 Fe 1.93

No. 6
The following is a SCAN calculation of FeSi2Pt at its PBEsol-relaxed geometry, from Alexandria via LeMat-Bulk.

Properties
- Formation energy (no corrections): -79.4 kJ/mol of formula units

Unit cell a=3.5004 b=3.5004 c=4.7233 alpha=111.75 beta=111.75 gamma=90.00
With the nearest neighbours (Å) after each atom.
Element x y z (fractional)
Fe (0.5000, 0.5000, 0.0000)  8 Si 2.48-2.67, 4 Pt 2.67
Pt (0.2500, 0.7500, 0.5000)  8 Si 2.48-2.67, 4 Fe 2.67
Si (0.0000, 0.0000, 0.0000)  4 Fe 2.48, 4 Pt 2.67, 4 Si 2.67
Si (0.7500, 0.2500, 0.5000)  4 Pt 2.48, 4 Fe 2.67, 4 Si 2.67

No. 7
The following is a SCAN calculation of HgMoAu2 at its PBEsol-relaxed geometry, from Alexandria via LeMat-Bulk.

Properties
- ΔE_f: 1.42 eV/f.u.

Unit cell a=2.7832 b=4.8747 c=5.3576 alpha=96.62 beta=90.00 gamma=106.59
With the nearest neighbours (Å) after each atom.
Element x y z (fractional)
Au (0.7563, 0.5126, 0.7674)  4 Au 2.78-2.87, 3 Mo 2.83, 3 Hg 2.83-2.98
Au (0.2437, 0.4874, 0.2326)  4 Au 2.78-2.87, 3 Mo 2.83, 3 Hg 2.83-2.98
Hg (0.0000, 0.0000, 0.5000)  2 Hg 2.78, 6 Au 2.83-2.98, 4 Mo 3.02
Mo (0.5000, 0.0000, 0.0000)  2 Mo 2.78, 6 Au 2.83, 4 Hg 3.02

No. 8
The following is a SCAN calculation of K2NbAgS4 at its PBEsol-relaxed geometry, from Alexandria via LeMat-Bulk.

Properties
- Formation energy (no corrections): -885.0 kJ/mol of formula units

Unit cell a=5.8174 b=7.1382 c=11.5885 alpha=84.13 beta=75.46 gamma=65.95
With the nearest neighbours (Å) after each atom.
Element x y z (fractional)
K (0.9308, 0.5000, 0.1384)  8 S 3.31-3.62
K (0.8192, 0.0000, 0.3616)  8 S 3.31-3.62
K (0.5692, 0.5000, 0.8616)  8 S 3.31-3.62
K (0.1808, 0.0000, 0.6384)  8 S 3.31-3.62
Nb (0.7500, 0.5000, 0.5000)  4 S 2.30
Nb (0.0000, 0.0000, 0.0000)  4 S 2.30
Ag (0.2500, 0.5000, 0.5000)  4 S 2.51
Ag (0.5000, 0.0000, 0.0000)  4 S 2.51
S (0.1741, 0.2101, 0.8818)  1 Nb 2.30, 1 Ag 2.51
S (0.2661, 0.7899, 0.1182)  1 Nb 2.30, 1 Ag 2.51
S (0.6158, 0.2101, 0.1182)  1 Nb 2.30, 1 Ag 2.51
S (0.9440, 0.7899, 0.8818)  1 Nb 2.30, 1 Ag 2.51
S (0.5759, 0.2899, 0.6182)  1 Nb 2.30, 1 Ag 2.51
S (0.8060, 0.7101, 0.6182)  1 Nb 2.30, 1 Ag 2.51
S (0.1342, 0.2899, 0.3818)  1 Nb 2.30, 1 Ag 2.51
S (0.4839, 0.7101, 0.3818)  1 Nb 2.30, 1 Ag 2.51

No. 9
The following is a SCAN calculation of InSb2Au at its PBEsol-relaxed geometry, from Alexandria via LeMat-Bulk.

Properties
- Formation energy (no corrections): -45.7 kJ/mol of formula units

Unit cell a=4.2039 b=5.0762 c=5.0731 alpha=109.66 beta=90.00 gamma=90.00
With the nearest neighbours (Å) after each atom.
Element x y z (fractional)
Sb (0.0000, 0.2121, 0.2881)  2 Au 2.74, 2 Sb 2.99
Sb (0.0000, 0.7879, 0.7119)  2 Au 2.74, 2 Sb 2.99
Au (0.5000, 0.0000, 0.5000)  4 Sb 2.74, 2 In 2.92
In (0.5000, 0.5000, 0.0000)  2 Au 2.92, 4 Sb 3.18

No. 10
The following is a SCAN calculation of Hg2PtSe at its PBEsol-relaxed geometry, from Alexandria via LeMat-Bulk.

Properties
- Formation energy (no corrections): 41.3 kJ/mol of formula units

Unit cell a=2.9398 b=4.3585 c=7.0340 alpha=108.05 beta=102.06 gamma=90.00
With the nearest neighbours (Å) after each atom.
Element x y z (fractional)
Hg (0.8086, 0.8086, 0.6173)  2 Pt 2.90, 6 Hg 2.94-3.04
Hg (0.1914, 0.1914, 0.3827)  2 Pt 2.90, 6 Hg 2.94-3.04
Pt (0.5000, 0.0000, 0.0000)  4 Se 2.63, 4 Hg 2.90, 2 Pt 2.94
Se (0.0000, 0.5000, 0.0000)  4 Pt 2.63, 2 Se 2.94

No. 11
The following is a SCAN calculation of MnBe2Ag at its PBEsol-relaxed geometry, from Alexandria via LeMat-Bulk.

Properties
- ΔE_f: 0.22 eV/f.u.

Unit cell a=2.7296 b=3.9583 c=4.7959 alpha=114.37 beta=106.53 gamma=90.00
With the nearest neighbours (Å) after each atom.
Element x y z (fractional)
Be (0.0165, 0.0165, 0.0331)  2 Be 2.24, 4 Mn 2.42, 2 Ag 2.48
Be (0.7298, 0.2298, 0.4597)  2 Be 2.24, 4 Ag 2.42
Mn (0.4873, 0.4873, 0.9746)  6 Be 2.42-2.54, 4 Ag 2.69-2.70
Ag (0.2663, 0.7663, 0.5327)  6 Be 2.42-2.48, 4 Mn 2.69-2.70

No. 12
The following is a SCAN calculation of Hf2ZrTaCr at its PBEsol-relaxed geometry, from Alexandria via LeMat-Bulk.

Properties
- ΔE_f: 5.61 eV/f.u.

Unit cell a=4.9512 b=5.0420 c=5.0420 alpha=90.00 beta=90.00 gamma=90.00
With the nearest neighbours (Å) after each atom.
Element x y z (fractional)
Cr (0.5000, 0.5000, 0.5000)  8 Hf 3.53, 4 Zr 3.57
Hf (0.0000, 0.0000, 0.5000)  2 Ta 2.52
Hf (0.0000, 0.5000, 0.0000)  2 Ta 2.52
Zr (0.5000, 0.0000, 0.0000)  2 Ta 2.48
Ta (0.0000, 0.0000, 0.0000)  2 Zr 2.48, 4 Hf 2.52

In order of appearance, uncorrected energy = -122.61 -207.77 -104.19 -141.79 -48.23 -109.18 -239.94 -257.68 -177.54 -226.17 -58.11 -235.41 eV per cell.